1.
KLa2Ta: relaxed, PBE.

Output
The value obtained for the calculated formation energy is 1.00 eV/atom. As for the polymorph energy (0 for the lowest one): 579 meV per atom. The calculation puts the final energy at -18.803 eV/f.u.

```
KLa2Ta
1.0
-5.341 0.736 3.286
-5.142 -2.363 -2.801
5.778 -2.186 1.302
K La Ta
1 2 1
direct
0.750 0.250 0.500
0.000 0.000 0.000
0.250 0.750 0.500
0.500 0.500 0.000
```

2.
MgTaCdTc2: relaxed, PBE.

Output
The value obtained for the calculated formation energy is 1.36 eV/atom. As for the polymorph energy (0 for the lowest one): 0 meV per atom. The calculation puts the final energy at -28.271 eV/f.u.

```
MgTaCdTc2
1.0
4.744 0.000 0.000
0.000 5.213 0.000
0.000 0.000 4.744
Mg Cd Tc Ta
1 1 2 1
direct
0.000 0.500 0.000
0.500 0.500 0.500
0.000 0.000 0.500
0.500 0.000 0.000
0.000 0.000 0.000
```

3.
NdEr2In: relaxed, PBE.

Output
The value obtained for the calculated formation energy is -0.13 eV/atom. As for the polymorph energy (0 for the lowest one): 127 meV per atom. The calculation puts the final energy at -17.160 eV/f.u.

```
NdEr2In
1.0
-3.007 1.949 -0.115
-2.991 -1.225 1.553
0.836 5.169 9.824
Nd Er In
1 2 1
direct
0.500 0.500 0.500
0.077 0.077 0.770
0.257 0.257 0.229
0.666 0.666 0.001
```

4.
Pu2ZnIn4: relaxed, PBE.

Output
The value obtained for the calculated formation energy is 0.30 eV/atom. The calculation puts the final energy at -38.768 eV/f.u.

```
Pu2ZnIn4
1.0
-2.162 -4.293 -1.365
4.074 -0.504 -4.865
2.098 -3.039 6.235
Pu Zn In
2 1 4
direct
0.500 0.119 0.239
0.500 0.881 0.761
0.000 0.500 0.000
0.500 0.611 0.223
0.000 0.729 0.457
0.500 0.389 0.777
0.000 0.271 0.543
```

5.
TeAsW2: relaxed, PBE.

Output
Its uncorrected formation energy is 0.31 eV/atom. As for the polymorph energy (0 for the lowest one): 130 meV per atom. The calculation puts the final energy at -32.443 eV/f.u.

```
TeAsW2
1.0
-1.636 3.097 -9.466
-1.018 0.062 -10.041
-3.933 0.953 -9.246
As Te W
1 1 2
direct
0.525 0.525 0.525
0.729 0.729 0.729
0.991 0.991 0.991
0.256 0.256 0.256
```

6.
LiPSe2: relaxed, PBE.

Output
Its uncorrected formation energy is 0.00 eV/atom. The calculation puts the final energy at -14.296 eV/f.u.

```
LiPSe2
1.0
-2.308 2.548 -0.055
-2.490 -2.320 -3.038
-2.288 -2.000 3.403
Li P Se
1 1 2
direct
0.500 0.500 0.000
0.500 0.000 0.500
0.000 0.000 0.000
0.000 0.500 0.500
```